Record 1
# Ac3InPb3

A relaxed structure of Ac3InPb3 (PBE, the Alexandria database).

```
data_Ac3InPb3
_cell_length_a 9.8945
_cell_length_b 9.8945
_cell_length_c 6.8534
_cell_angle_alpha 90.00
_cell_angle_beta 90.00
_cell_angle_gamma 120.00
_symmetry_space_group_name_H-M 'P 63/m'
_symmetry_Int_Tables_number 176
_symmetry_space_group_name_Hall '-P 6c'
loop_
_atom_site_label
_atom_site_type_symbol
_atom_site_fract_x
_atom_site_fract_y
_atom_site_fract_z
_atom_site_occupancy
Ac1 Ac 0.0655 0.6823 0.2500 1
In1 In 0.3333 0.6667 0.7500 1
Pb1 Pb 0.0593 0.7129 0.7500 1
```

Calculated values
**Total moment**: 0.000 μB per formula unit
**Relative energy among the computed polymorphs**: 0.155 eV/atom
**DOS at the Fermi energy**: 5.62 states/eV/cell
**DFT formation energy**: -0.333 eV per atom
**Mass density**: 8.1 g/cm³
**Total DFT energy (no corrections)**: -4.074 eV per atom


Record 2
# V2GeMo

A relaxed structure of V2GeMo (PBE, the Alexandria database).

```
data_V2GeMo
_cell_length_a 6.8843
_cell_length_b 6.8843
_cell_length_c 5.2256
_cell_angle_alpha 90.00
_cell_angle_beta 90.00
_cell_angle_gamma 90.00
_symmetry_space_group_name_H-M 'I -4 2 d'
_symmetry_Int_Tables_number 122
_symmetry_space_group_name_Hall 'I -4 2bw'
loop_
_atom_site_label
_atom_site_type_symbol
_atom_site_fract_x
_atom_site_fract_y
_atom_site_fract_z
_atom_site_occupancy
V1 V 0.2493 0.7500 0.1250 1
Ge1 Ge 0.0000 0.0000 0.5000 1
Mo1 Mo 0.0000 0.0000 0.0000 1
```

Calculated values
**Total moment**: 0.000 μB per formula unit
**DOS at the Fermi energy**: 13.43 states/eV/cell
**DFT formation energy**: 0.478 eV per atom
**Mass density**: 7.3 g/cm³
**Total DFT energy (no corrections)**: -7.943 eV per atom


Record 3
# Ac3PtN

A relaxed structure of Ac3PtN (PBE, the Alexandria database).

```
data_Ac3PtN
_cell_length_a 5.2190
_cell_length_b 5.2190
_cell_length_c 5.2190
_cell_angle_alpha 90.00
_cell_angle_beta 90.00
_cell_angle_gamma 90.00
_symmetry_space_group_name_H-M 'P m -3 m'
_symmetry_Int_Tables_number 221
_symmetry_space_group_name_Hall '-P 4 2 3'
loop_
_atom_site_label
_atom_site_type_symbol
_atom_site_fract_x
_atom_site_fract_y
_atom_site_fract_z
_atom_site_occupancy
Ac1 Ac 0.0000 0.0000 0.5000 1
Pt1 Pt 0.5000 0.5000 0.5000 1
N1 N 0.0000 0.0000 0.0000 1
```

Calculated values
**Total moment**: 0.000 μB per formula unit
**Formation energy (no corrections)**: -0.63 eV per atom
**Relative energy among the computed polymorphs**: 0.185 eV/atom
**DOS at the Fermi energy**: 5.79 states/eV/cell
**Mass density**: 10.4 g/cm³
**Total DFT energy (no corrections)**: -5.965 eV per atom


Which value of DOS at the Fermi energy does entry 1 give? 5.62 states/eV/cell